A relaxed structure of RbSrPaO4. Source: Alexandria via LeMat-Bulk, functional GGA-PBE.

Cell lengths 4.4492, 4.4492, 7.3211 Å; angles 107.69, 107.69, 90.00 degrees
Last column: nearest neighbours and their distance in Å.
Sites, in units of the cell vectors:
Rb (0.6519, 0.6519, 0.3037)  1 O 2.60
Sr (0.3543, 0.3543, 0.7086)  1 O 2.50
Pa (0.0052, 0.0052, 0.0104)  6 O 2.07-2.24
O (0.9873, 0.4873, 0.9747)  2 Pa 2.24
O (0.4873, 0.9873, 0.9747)  2 Pa 2.24
O (0.8485, 0.8485, 0.6970)  1 Pa 2.07
O (0.1655, 0.1655, 0.3311)  1 Pa 2.12

Output
The spin magnetization is 0.000 μB per cell. The value obtained for the total energy is -52.674 eV/f.u. The space-group type is I4mm (107). For the volume, the calculation gives 18.69 Å³ per atom. Its raw formation energy is -2.96 eV/atom.

=====

A relaxed structure of CaReTc. Source: Alexandria via LeMat-Bulk, functional GGA-PBE.

Cell lengths 4.4009, 4.4009, 4.4009 Å; angles 60.00, 60.00, 60.00 degrees
Last column: nearest neighbours and their distance in Å.
Sites, in units of the cell vectors:
Re (0.5000, 0.5000, 0.5000)  4 Tc 2.69
Ca (0.0000, 0.0000, 0.0000)  4 Tc 2.69
Tc (0.7500, 0.7500, 0.7500)  4 Re 2.69, 4 Ca 2.69

Output
The spin magnetization is 0.000 μB per cell. The value obtained for the total energy is -22.192 eV/f.u. The space-group type is F-43m (216). For the volume, the calculation gives 20.09 Å³ per atom. The energy of formation comes out at 0.8747 eV per atom. The energy above the most stable polymorph in this dataset comes out at 533 meV per atom.

=====

A relaxed structure of RbScReH2. Source: Alexandria via LeMat-Bulk, functional GGA-PBE.

Cell lengths 4.1659, 4.9208, 4.1659 Å; angles 90.00, 90.00, 90.00 degrees
Last column: nearest neighbours and their distance in Å.
Sites, in units of the cell vectors:
Sc (0.0000, 0.5000, 0.0000)  2 Re 2.46
Re (0.0000, 0.0000, 0.0000)  4 H 2.08
Rb (0.5000, 0.5000, 0.5000)  4 Sc 2.95, 8 H 3.22
H (0.0000, 0.0000, 0.5000)  2 Re 2.08
H (0.5000, 0.0000, 0.0000)  2 Re 2.08

Output
The spin magnetization is 0.003 μB per cell. The value obtained for the total energy is -21.175 eV/f.u. The space-group type is P4/mmm (123). For the volume, the calculation gives 17.08 Å³ per atom.

=====

A relaxed structure of ZnTe2. Source: Alexandria via LeMat-Bulk, functional GGA-PBE.

Cell lengths 6.3873, 6.3873, 6.3873 Å; angles 60.00, 60.00, 60.00 degrees
Last column: nearest neighbours and their distance in Å.
Sites, in units of the cell vectors:
Zn (0.5000, 0.5000, 0.5000)  12 Te 3.74, 4 Zn 3.91
Zn (0.7500, 0.7500, 0.7500)  12 Te 3.74, 4 Zn 3.91
Te (0.6250, 0.1250, 0.1250)  6 Te 3.19
Te (0.1250, 0.6250, 0.1250)  6 Te 3.19
Te (0.1250, 0.1250, 0.6250)  6 Te 3.19
Te (0.1250, 0.1250, 0.1250)  6 Te 3.19

Output
The spin magnetization is 0.000 μB per cell. The value obtained for the total energy is -6.195 eV/f.u. The space-group type is Fd-3m (227). For the volume, the calculation gives 30.71 Å³ per atom. Its raw formation energy is 0.45 eV/atom.

=====

A relaxed structure of AcTbSm6Ho2. Source: Alexandria via LeMat-Bulk, functional GGA-PBE.

Cell lengths 9.6760, 9.0003, 9.0003 Å; angles 117.47, 92.90, 92.90 degrees
Last column: nearest neighbours and their distance in Å.
Sites, in units of the cell vectors:
Ac (0.2500, 0.9710, 0.0290)  4 Ho 3.50-3.60, 6 Sm 3.70-3.90
Ac (0.7500, 0.0290, 0.9710)  4 Ho 3.50-3.60, 6 Sm 3.70-3.90
Tb (0.2500, 0.4117, 0.5883)  6 Sm 3.47-3.61, 4 Ho 3.59-3.86
Tb (0.7500, 0.5883, 0.4117)  6 Sm 3.47-3.61, 4 Ho 3.59-3.86
Sm (0.0551, 0.1236, 0.7524)  7 Sm 3.47-3.84, 1 Ho 3.61, 1 Ac 3.82
Sm (0.4449, 0.2476, 0.8764)  7 Sm 3.47-3.84, 1 Ho 3.61, 1 Ac 3.82
Sm (0.9449, 0.8764, 0.2476)  7 Sm 3.47-3.84, 1 Ho 3.61, 1 Ac 3.82
Sm (0.5551, 0.7524, 0.1236)  7 Sm 3.47-3.84, 1 Ho 3.61, 1 Ac 3.82
Sm (0.3178, 0.9887, 0.4450)  3 Sm 3.27-3.59, 2 Ho 3.47-3.58, 1 Tb 3.52
Sm (0.1822, 0.5550, 0.0113)  3 Sm 3.27-3.59, 2 Ho 3.47-3.58, 1 Tb 3.52
Sm (0.6822, 0.0113, 0.5550)  3 Sm 3.27-3.59, 2 Ho 3.47-3.58, 1 Tb 3.52
Sm (0.8178, 0.4450, 0.9887)  3 Sm 3.27-3.59, 2 Ho 3.47-3.58, 1 Tb 3.52
Sm (0.1178, 0.7099, 0.4896)  4 Sm 3.27-3.56, 3 Ho 3.30-3.48, 2 Tb 3.47-3.61
Sm (0.3822, 0.5104, 0.2901)  4 Sm 3.27-3.56, 3 Ho 3.30-3.48, 2 Tb 3.47-3.61
Sm (0.8822, 0.2901, 0.5104)  4 Sm 3.27-3.56, 3 Ho 3.30-3.48, 2 Tb 3.47-3.61
Sm (0.6178, 0.4896, 0.7099)  4 Sm 3.27-3.56, 3 Ho 3.30-3.48, 2 Tb 3.47-3.61
Ho (0.4520, 0.7965, 0.6860)  6 Sm 3.30-3.61, 2 Ac 3.50-3.60, 1 Tb 3.59
Ho (0.0480, 0.3140, 0.2035)  6 Sm 3.30-3.61, 2 Ac 3.50-3.60, 1 Tb 3.59
Ho (0.5480, 0.2035, 0.3140)  6 Sm 3.30-3.61, 2 Ac 3.50-3.60, 1 Tb 3.59
Ho (0.9520, 0.6860, 0.7965)  6 Sm 3.30-3.61, 2 Ac 3.50-3.60, 1 Tb 3.59

Output
The spin magnetization is 0.000 μB per cell. The value obtained for the total energy is -44.970 eV/f.u. The space-group type is C2/c (15). For the volume, the calculation gives 34.61 Å³ per atom. The energy of formation comes out at 0.1240 eV per atom.

=====

A relaxed structure of KRu2Br. Source: Alexandria via LeMat-Bulk, functional GGA-PBE.

Cell lengths 4.6646, 4.6646, 4.6646 Å; angles 60.00, 60.00, 60.00 degrees
Last column: nearest neighbours and their distance in Å.
Sites, in units of the cell vectors:
Ru (0.2500, 0.2500, 0.2500)  4 Br 2.86, 4 K 2.86
Ru (0.7500, 0.7500, 0.7500)  4 Br 2.86, 4 K 2.86
K (0.0000, 0.0000, 0.0000)  8 Ru 2.86
Br (0.5000, 0.5000, 0.5000)  8 Ru 2.86

Output
The spin magnetization is 0.000 μB per cell. The value obtained for the total energy is -15.019 eV/f.u. The space-group type is Fm-3m (225). For the volume, the calculation gives 17.94 Å³ per atom. Its raw formation energy is 1.58 eV/atom. The energy above the most stable polymorph in this dataset comes out at 1262 meV per atom.

=====

A relaxed structure of AcMnP2Ru. Source: Alexandria via LeMat-Bulk, functional GGA-PBE.

Cell lengths 4.0247, 4.0247, 6.2602 Å; angles 108.75, 108.75, 90.00 degrees
Last column: nearest neighbours and their distance in Å.
Sites, in units of the cell vectors:
Ac (0.0000, 0.0000, 0.0000)  8 P 3.31, 4 Mn 3.44, 4 Ru 3.44
Mn (0.7500, 0.2500, 0.5000)  4 P 2.29
P (0.6516, 0.6516, 0.3032)  2 Mn 2.29, 2 Ru 2.29
P (0.3484, 0.3484, 0.6968)  2 Mn 2.29, 2 Ru 2.29
Ru (0.2500, 0.7500, 0.5000)  4 P 2.29

Output
The spin magnetization is 0.002 μB per cell. The value obtained for the total energy is -37.921 eV/f.u. The space-group type is I-4m2 (119). For the volume, the calculation gives 18.06 Å³ per atom. The energy of formation comes out at -0.9094 eV per atom.

=====

A relaxed structure of TmPaReNi. Source: Alexandria via LeMat-Bulk, functional GGA-PBE.

Cell lengths 4.8009, 4.8009, 4.8009 Å; angles 60.00, 60.00, 60.00 degrees
Last column: nearest neighbours and their distance in Å.
Sites, in units of the cell vectors:
Re (0.0000, 0.0000, 0.0000)  4 Tm 2.94, 4 Pa 2.94
Pa (0.7500, 0.7500, 0.7500)  4 Ni 2.94, 4 Re 2.94
Tm (0.2500, 0.2500, 0.2500)  4 Re 2.94, 4 Ni 2.94
Ni (0.5000, 0.5000, 0.5000)  4 Pa 2.94, 4 Tm 2.94

Output
The spin magnetization is 0.000 μB per cell. The value obtained for the total energy is -32.767 eV/f.u. The space-group type is F-43m (216). For the volume, the calculation gives 19.56 Å³ per atom. The energy of formation comes out at -0.1426 eV per atom.

=====

A relaxed structure of CdCu2OsO6. Source: Alexandria via LeMat-Bulk, functional GGA-PBE.

Cell lengths 7.7609, 6.4152, 6.4152 Å; angles 97.88, 81.38, 81.38 degrees
Last column: nearest neighbours and their distance in Å.
Sites, in units of the cell vectors:
Cd (0.2500, 0.7444, 0.2556)  6 O 2.31-2.49
Cd (0.7500, 0.2556, 0.7444)  6 O 2.31-2.49
Cu (0.3445, 0.6166, 0.6380)  4 O 1.89-2.00
Cu (0.1555, 0.3620, 0.3834)  4 O 1.89-2.00
Cu (0.6555, 0.3834, 0.3620)  4 O 1.89-2.00
Cu (0.8445, 0.6380, 0.6166)  4 O 1.89-2.00
Os (0.2500, 0.0968, 0.9032)  4 O 1.74-1.88
Os (0.7500, 0.9032, 0.0968)  4 O 1.74-1.88
O (0.2839, 0.8003, 0.9054)  1 Os 1.88, 1 Cu 1.89
O (0.2161, 0.0946, 0.1997)  1 Os 1.88, 1 Cu 1.89
O (0.7161, 0.1997, 0.0946)  1 Os 1.88, 1 Cu 1.89
O (0.7839, 0.9054, 0.8003)  1 Os 1.88, 1 Cu 1.89
O (0.5599, 0.8126, 0.1983)  1 Os 1.74
O (0.9401, 0.8017, 0.1874)  1 Os 1.74
O (0.4401, 0.1874, 0.8017)  1 Os 1.74
O (0.0599, 0.1983, 0.8126)  1 Os 1.74
O (0.1022, 0.6369, 0.5612)  3 Cu 1.92-2.00
O (0.3978, 0.4388, 0.3631)  3 Cu 1.92-2.00
O (0.8978, 0.3631, 0.4388)  3 Cu 1.92-2.00
O (0.6022, 0.5612, 0.6369)  3 Cu 1.92-2.00

Output
The spin magnetization is 0.000 μB per cell. The value obtained for the total energy is -57.014 eV/f.u. The space-group type is C2/c (15). For the volume, the calculation gives 15.40 Å³ per atom. Its raw formation energy is -0.69 eV/atom.

=====

A relaxed structure of LaDy2I. Source: Alexandria via LeMat-Bulk, functional GGA-PBE.

Cell lengths 3.7727, 3.7727, 10.9198 Å; angles 80.03, 80.03, 60.01 degrees
Last column: nearest neighbours and their distance in Å.
Sites, in units of the cell vectors:
La (0.4999, 0.4999, 0.5004)  6 Dy 3.62-3.63, 6 La 3.77
Dy (0.0763, 0.0763, 0.7711)  3 I 3.27-3.28, 3 La 3.62
Dy (0.2570, 0.2570, 0.2287)  3 I 3.28, 3 La 3.63
I (0.6667, 0.6667, 0.9998)  6 Dy 3.27-3.28

Output
The spin magnetization is 0.003 μB per cell. The value obtained for the total energy is -16.916 eV/f.u. The space-group type is R3m (160). For the volume, the calculation gives 32.97 Å³ per atom. Its raw formation energy is -0.31 eV/atom. The energy above the most stable polymorph in this dataset comes out at 0 meV per atom.